[1]
DFT (PBE-GGA) results for Ho2Al4Cu3Hg after structural relaxation.

ΔH_f (0 K) = -0.366 eV per atom

Cell: 4.1751 4.1751 10.4395 Å, 90.00 90.00 90.00°
Last column: nearest neighbours and their distance in Å.
Space group P-4m2 (No. 115)
One atom of each set of equivalent atoms:
Ho: 0.0000 0.5000 0.2397 (multiplicity 2)  8 Al 3.17-3.26, 6 Cu 3.18-3.43, 2 Hg 3.43
Al: 0.0000 0.0000 0.0000 (multiplicity 1)  4 Cu 2.47
Al: 0.0000 0.5000 0.6495 (multiplicity 2)  3 Cu 2.35-2.61, 2 Hg 2.61
Al: 0.5000 0.5000 0.0000 (multiplicity 1)  4 Cu 2.47
Cu: 0.0000 0.5000 0.8742 (multiplicity 2)  5 Al 2.35-2.47
Cu: 0.5000 0.5000 0.5000 (multiplicity 1)  4 Al 2.61
Hg: 0.0000 0.0000 0.5000 (multiplicity 1)  4 Al 2.61

---

[2]
DFT (PBE-GGA) results for HoAlCuHg after structural relaxation.

ΔH_f (0 K) = -0.267 eV per atom

Cell: 6.7709 6.7709 6.7709 Å, 90.00 90.00 90.00°
Last column: nearest neighbours and their distance in Å.
Space group F-43m (No. 216)
One atom of each set of equivalent atoms:
Ho: 0.0000 0.0000 0.0000 (multiplicity 4)  4 Hg 2.93, 4 Cu 2.93
Al: 0.0000 0.0000 0.5000 (multiplicity 4)  4 Hg 2.93, 4 Cu 2.93
Cu: 0.2500 0.2500 0.7500 (multiplicity 4)  4 Ho 2.93, 4 Al 2.93
Hg: 0.2500 0.2500 0.2500 (multiplicity 4)  4 Ho 2.93, 4 Al 2.93

---

[3]
DFT (PBE-GGA) results for LaAlCuHg after structural relaxation.

ΔH_f (0 K) = -0.254 eV per atom

Cell: 7.0728 7.0728 7.0728 Å, 90.00 90.00 90.00°
Last column: nearest neighbours and their distance in Å.
Space group F-43m (No. 216)
One atom of each set of equivalent atoms:
La: 0.0000 0.0000 0.0000 (multiplicity 4)  4 Hg 3.06, 4 Cu 3.06
Al: 0.0000 0.0000 0.5000 (multiplicity 4)  4 Cu 3.06, 4 Hg 3.06
Cu: 0.2500 0.2500 0.7500 (multiplicity 4)  4 La 3.06, 4 Al 3.06
Hg: 0.2500 0.2500 0.2500 (multiplicity 4)  4 La 3.06, 4 Al 3.06

---

[4]
DFT (PBE-GGA) results for La2Al3Cu4Hg after structural relaxation.

ΔH_f (0 K) = -0.321 eV per atom

Cell: 4.3620 4.3620 10.3360 Å, 90.00 90.00 90.00°
Last column: nearest neighbours and their distance in Å.
Space group P-4m2 (No. 115)
One atom of each set of equivalent atoms:
La: 0.0000 0.5000 0.2385 (multiplicity 2)  8 Cu 3.29-3.31, 7 Al 3.33-3.68, 2 Hg 3.47
Al: 0.0000 0.5000 0.8823 (multiplicity 2)  5 Cu 2.45-2.50
Al: 0.5000 0.5000 0.5000 (multiplicity 1)  4 Cu 2.65
Cu: 0.0000 0.0000 0.0000 (multiplicity 1)  4 Al 2.50
Cu: 0.0000 0.5000 0.6448 (multiplicity 2)  3 Al 2.45-2.65, 2 Hg 2.65
Cu: 0.5000 0.5000 0.0000 (multiplicity 1)  4 Al 2.50
Hg: 0.0000 0.0000 0.5000 (multiplicity 1)  4 Cu 2.65

---

[5]
DFT (PBE-GGA) results for La2Al4CuHg3 after structural relaxation.

ΔH_f (0 K) = -0.371 eV per atom

Cell: 4.4662 4.4662 11.0791 Å, 90.00 90.00 90.00°
Last column: nearest neighbours and their distance in Å.
Space group P-4m2 (No. 115)
One atom of each set of equivalent atoms:
La: 0.0000 0.5000 0.2396 (multiplicity 2)  8 Al 3.42-3.65, 6 Hg 3.42-3.47, 2 Cu 3.47
Al: 0.0000 0.0000 0.5000 (multiplicity 1)  4 Hg 2.73
Al: 0.0000 0.5000 0.8778 (multiplicity 2)  3 Hg 2.61-2.62, 2 Cu 2.61
Al: 0.5000 0.5000 0.5000 (multiplicity 1)  4 Hg 2.73
Cu: 0.5000 0.5000 0.0000 (multiplicity 1)  4 Al 2.61
Hg: 0.0000 0.0000 0.0000 (multiplicity 1)  4 Al 2.61
Hg: 0.0000 0.5000 0.6412 (multiplicity 2)  5 Al 2.62-2.73

---

[6]
DFT (PBE-GGA) results for LiAlCuHg after structural relaxation.

ΔH_f (0 K) = -0.131 eV per atom

Cell: 6.3095 6.3095 6.3095 Å, 90.00 90.00 90.00°
Last column: nearest neighbours and their distance in Å.
Space group F-43m (No. 216)
One atom of each set of equivalent atoms:
Li: 0.0000 0.0000 0.0000 (multiplicity 4)  4 Cu 2.73, 4 Hg 2.73
Al: 0.0000 0.0000 0.5000 (multiplicity 4)  4 Hg 2.73, 4 Cu 2.73
Cu: 0.2500 0.2500 0.2500 (multiplicity 4)  4 Al 2.73, 4 Li 2.73
Hg: 0.2500 0.2500 0.7500 (multiplicity 4)  4 Li 2.73, 4 Al 2.73

---

[7]
DFT (PBE-GGA) results for MgAlCuHg after structural relaxation.

ΔH_f (0 K) = 0.004 eV per atom

Cell: 6.5207 6.5207 6.5207 Å, 90.00 90.00 90.00°
Last column: nearest neighbours and their distance in Å.
Space group F-43m (No. 216)
One atom of each set of equivalent atoms:
Mg: 0.0000 0.0000 0.0000 (multiplicity 4)  4 Hg 2.82, 4 Cu 2.82
Al: 0.0000 0.0000 0.5000 (multiplicity 4)  4 Hg 2.82, 4 Cu 2.82
Cu: 0.2500 0.2500 0.2500 (multiplicity 4)  4 Mg 2.82, 4 Al 2.82
Hg: 0.2500 0.2500 0.7500 (multiplicity 4)  4 Mg 2.82, 4 Al 2.82

---

[8]
DFT (PBE-GGA) results for MgAl2CuHg after structural relaxation.

ΔH_f (0 K) = 0.784 eV per atom

Cell: 5.1788 5.1788 4.7544 Å, 90.00 90.00 90.00°
Last column: nearest neighbours and their distance in Å.
Space group P4/mmm (No. 123)
One atom of each set of equivalent atoms:
Mg: 0.0000 0.0000 0.0000 (multiplicity 1)  2 Cu 2.38, 4 Al 2.59
Al: 0.0000 0.5000 0.0000 (multiplicity 2)  2 Mg 2.59
Cu: 0.0000 0.0000 0.5000 (multiplicity 1)  2 Mg 2.38
Hg: 0.5000 0.5000 0.5000 (multiplicity 1)  8 Al 3.52, 4 Cu 3.66

---

[9]
DFT (PBE-GGA) results for AlCuHg2N after structural relaxation.

Formation energy without anion corrections = 700 meV per atom

Cell: 5.3582 5.3582 3.5288 Å, 90.00 90.00 90.00°
Last column: nearest neighbours and their distance in Å.
Space group P4/mmm (No. 123)
One atom of each set of equivalent atoms:
Al: 0.0000 0.0000 0.0000 (multiplicity 1)  8 Hg 3.21, 2 Al 3.53
Cu: 0.5000 0.5000 0.5000 (multiplicity 1)  2 N 1.76
Hg: 0.0000 0.5000 0.5000 (multiplicity 2)  2 Cu 2.68
N: 0.5000 0.5000 0.0000 (multiplicity 1)  2 Cu 1.76

---

[10]
DFT (PBE-GGA) results for NdAlCuHg after structural relaxation.

ΔH_f (0 K) = -0.242 eV per atom

Cell: 6.9633 6.9633 6.9633 Å, 90.00 90.00 90.00°
Last column: nearest neighbours and their distance in Å.
Space group F-43m (No. 216)
One atom of each set of equivalent atoms:
Nd: 0.0000 0.0000 0.0000 (multiplicity 4)  4 Hg 3.02, 4 Cu 3.02
Al: 0.0000 0.0000 0.5000 (multiplicity 4)  4 Hg 3.02, 4 Cu 3.02
Cu: 0.2500 0.2500 0.7500 (multiplicity 4)  4 Nd 3.02, 4 Al 3.02
Hg: 0.2500 0.2500 0.2500 (multiplicity 4)  4 Nd 3.02, 4 Al 3.02

---

[11]
DFT (PBE-GGA) results for Nd2Al4Cu3Hg after structural relaxation.

ΔH_f (0 K) = -0.392 eV per atom

Cell: 4.2934 4.2934 10.4145 Å, 90.00 90.00 90.00°
Last column: nearest neighbours and their distance in Å.
Space group P-4m2 (No. 115)
One atom of each set of equivalent atoms:
Nd: 0.0000 0.5000 0.2429 (multiplicity 2)  8 Al 3.24-3.32, 6 Cu 3.29-3.43, 2 Hg 3.43
Al: 0.0000 0.0000 0.0000 (multiplicity 1)  4 Cu 2.49
Al: 0.0000 0.5000 0.6473 (multiplicity 2)  3 Cu 2.40-2.64, 2 Hg 2.64
Al: 0.5000 0.5000 0.0000 (multiplicity 1)  4 Cu 2.49
Cu: 0.0000 0.5000 0.8780 (multiplicity 2)  5 Al 2.40-2.49
Cu: 0.5000 0.5000 0.5000 (multiplicity 1)  4 Al 2.64
Hg: 0.0000 0.0000 0.5000 (multiplicity 1)  4 Al 2.64

---

[12]
DFT (PBE-GGA) results for AlCuHg2O after structural relaxation.

Formation energy without anion corrections = 792 meV per atom

Cell: 5.1754 5.1754 4.6167 Å, 90.00 90.00 90.00°
Last column: nearest neighbours and their distance in Å.
Space group P4/mmm (No. 123)
One atom of each set of equivalent atoms:
Al: 0.0000 0.0000 0.0000 (multiplicity 1)  2 Cu 2.31
Cu: 0.0000 0.0000 0.5000 (multiplicity 1)  2 Al 2.31
Hg: 0.0000 0.5000 0.0000 (multiplicity 2)  2 Al 2.59
O: 0.5000 0.5000 0.5000 (multiplicity 1)  8 Hg 3.47, 4 Cu 3.66

---

| no. | energy (eV/atom) |
| --- | --- |
| 1 | -4.04 |
| 2 | -3.45 |
| 3 | -3.52 |
| 4 | -4.10 |
| 5 | -3.35 |
| 6 | -2.64 |
| 7 | -2.43 |
| 8 | -1.91 |
| 9 | -2.65 |
| 10 | -3.47 |
| 11 | -4.10 |
| 12 | -1.89 |